Record 1
# AcNdCuRh PBE optimized geometry
# Uncorrected energy (eV per cell): -22.033
# DOS at the Fermi energy (states/eV per cell): 2.849
# Excess energy over the best structure of this formula in the dataset (kJ per mole of atoms): 0.0
# Calculated formation energy (eV per atom): -0.427
data_AcNdCuRh
_symmetry_space_group_name_H-M 'P 1'
_symmetry_Int_Tables_number 1
_cell_length_a 4.569
_cell_length_b 5.829
_cell_length_c 5.829
_cell_angle_alpha 40.72
_cell_angle_beta 90.00
_cell_angle_gamma 90.00
loop_
_symmetry_equiv_pos_as_xyz
'x,y,z'
loop_
_atom_site_label
_atom_site_type_symbol
_atom_site_fract_x
_atom_site_fract_y
_atom_site_fract_z
Ac1 Ac 0.000 0.000 0.000
Nd1 Nd 0.500 0.725 0.725
Cu1 Cu 0.500 0.429 0.429
Rh1 Rh 0.000 0.277 0.277



Record 2
# Li2La2Tl PBE optimized geometry
# Uncorrected energy (eV per cell): -33.490
# DOS at the Fermi energy (states/eV per cell): 11.880
# Excess energy over the best structure of this formula in the dataset (kJ per mole of atoms): 0.0
# Calculated formation energy (eV per atom): -0.139
data_Li2La2Tl
_symmetry_space_group_name_H-M 'P 1'
_symmetry_Int_Tables_number 1
_cell_length_a 7.104
_cell_length_b 7.104
_cell_length_c 5.212
_cell_angle_alpha 90.00
_cell_angle_beta 90.00
_cell_angle_gamma 90.00
loop_
_symmetry_equiv_pos_as_xyz
'x,y,z'
loop_
_atom_site_label
_atom_site_type_symbol
_atom_site_fract_x
_atom_site_fract_y
_atom_site_fract_z
Li1 Li 0.132 0.368 0.000
Li2 Li 0.368 0.868 0.000
Li3 Li 0.632 0.132 0.000
Li4 Li 0.868 0.632 0.000
La1 La 0.180 0.680 0.500
La2 La 0.320 0.180 0.500
La3 La 0.680 0.820 0.500
La4 La 0.820 0.320 0.500
Tl1 Tl 0.000 0.000 0.000
Tl2 Tl 0.500 0.500 0.000



Record 3
# Cr2SnPbI PBE optimized geometry
# Uncorrected energy (eV per cell): -24.510
# Uncorrected formation energy (eV/atom): 0.800
# DOS at the Fermi energy (states/eV per cell): 5.147
data_Cr2SnPbI
_symmetry_space_group_name_H-M 'P 1'
_symmetry_Int_Tables_number 1
_cell_length_a 5.347
_cell_length_b 5.347
_cell_length_c 5.898
_cell_angle_alpha 90.00
_cell_angle_beta 90.00
_cell_angle_gamma 90.00
loop_
_symmetry_equiv_pos_as_xyz
'x,y,z'
loop_
_atom_site_label
_atom_site_type_symbol
_atom_site_fract_x
_atom_site_fract_y
_atom_site_fract_z
Cr1 Cr 0.000 0.500 0.000
Cr2 Cr 0.500 0.000 0.000
Sn1 Sn 0.000 0.000 0.000
Pb1 Pb 0.000 0.000 0.500
I1 I 0.500 0.500 0.500